Below is Tl3WF6 after structural relaxation, with properties calculated at the PBE+U level.

Unit cell a=7.369 b=6.953 c=6.236 alpha=67.69 beta=60.79 gamma=51.52
Positions (direct):
Tl 0.000 0.000 0.000
Tl 0.250 0.250 0.250
Tl 0.750 0.750 0.750
W 0.500 0.500 0.500
F 0.180 0.561 0.820
F 0.276 0.724 0.276
F 0.439 0.820 0.561
F 0.561 0.180 0.439
F 0.724 0.276 0.724
F 0.820 0.439 0.180

Results
**Magnetization**: 3.00 μB/cell
**Space group**: No. 69
**Theoretical density**: 6.972 Mg/m³
**Relative energy among the computed polymorphs**: 0.041 eV/atom
**Raw total energy**: -4.657 eV/atom